Record 1
The following is a DFT calculation (GGA-PBE) of crystalline KTlInHg at its relaxed geometry.

```
data_KTlInHg
_chemical_formula_sum 'K2 Tl2 In2 Hg2'
_space_group_name_H-M_alt 'C 1 m 1'
_space_group_IT_number 8
_cell_length_a 6.8759
_cell_length_b 3.9470
_cell_length_c 9.8153
_cell_angle_alpha 90.00
_cell_angle_beta 90.03
_cell_angle_gamma 90.00
loop_
_space_group_symop_operation_xyz
'x,y,z'
'x,-y,z'
'x+1/2,y+1/2,z'
'x+1/2,-y+1/2,z'
loop_
_atom_site_label
_atom_site_type_symbol
_atom_site_fract_x
_atom_site_fract_y
_atom_site_fract_z
_atom_site_occupancy
K1 K 0.0000 0.0000 0.0000 1
Tl1 Tl 0.3309 0.0000 0.2936 1
In1 In 0.1631 0.5000 0.5232 1
Hg1 Hg 0.3314 0.0000 0.7361 1
```

Properties
distance to the lowest polymorph of the same formula	0.040	eV/atom
theoretical density	6.97	Mg/m³
DFT total energy	-0.12286	Ry/atom
calculated formation energy	-0.0457	eV per atom


Record 2
The following is a DFT calculation (GGA-PBE) of crystalline ZrCdCl2 at its relaxed geometry.

```
data_ZrCdCl2
_chemical_formula_sum 'Zr3 Cd3 Cl6'
_space_group_name_H-M_alt 'R -3 m'
_space_group_IT_number 166
_space_group_name_Hall '-R 3 2"'
_cell_length_a 3.2911
_cell_length_b 3.2911
_cell_length_c 32.0325
_cell_angle_alpha 90.00
_cell_angle_beta 90.00
_cell_angle_gamma 120.00
loop_
_atom_site_label
_atom_site_type_symbol
_atom_site_fract_x
_atom_site_fract_y
_atom_site_fract_z
_atom_site_occupancy
Zr1 Zr 0.0000 0.0000 0.0000 1
Cd1 Cd 0.0000 0.0000 0.5000 1
Cl1 Cl 0.0000 0.0000 0.2760 1
```

Properties
distance to the lowest polymorph of the same formula	0.000	eV/atom
theoretical density	4.55	Mg/m³
DFT total energy	-0.32058	Ry/atom
energy relative to the elements, uncorrected	-1073	meV per atom


Record 3
The following is a DFT calculation (GGA-PBE) of crystalline CdMo2Se at its relaxed geometry.

```
data_CdMo2Se
_chemical_formula_sum 'Cd2 Mo4 Se2'
_space_group_name_H-M_alt 'I 4/m m m'
_space_group_IT_number 139
_space_group_name_Hall '-I 4 2'
_cell_length_a 3.9177
_cell_length_b 3.9177
_cell_length_c 9.3308
_cell_angle_alpha 90.00
_cell_angle_beta 90.00
_cell_angle_gamma 90.00
loop_
_atom_site_label
_atom_site_type_symbol
_atom_site_fract_x
_atom_site_fract_y
_atom_site_fract_z
_atom_site_occupancy
Cd1 Cd 0.0000 0.0000 0.0000 1
Mo1 Mo 0.0000 0.5000 0.2500 1
Se1 Se 0.0000 0.0000 0.5000 1
```

Properties
distance to the lowest polymorph of the same formula	0.566	eV/atom
theoretical density	8.89	Mg/m³
DFT total energy	-0.42656	Ry/atom
energy relative to the elements, uncorrected	712	meV per atom


Record 4
The following is a DFT calculation (GGA-PBE) of crystalline PmTmRh at its relaxed geometry.

```
data_PmTmRh
_chemical_formula_sum 'Pm4 Tm4 Rh4'
_space_group_name_H-M_alt 'F -4 3 m'
_space_group_IT_number 216
_space_group_name_Hall 'F -4 2 3'
_cell_length_a 6.8451
_cell_length_b 6.8451
_cell_length_c 6.8451
_cell_angle_alpha 90.00
_cell_angle_beta 90.00
_cell_angle_gamma 90.00
loop_
_atom_site_label
_atom_site_type_symbol
_atom_site_fract_x
_atom_site_fract_y
_atom_site_fract_z
_atom_site_occupancy
Pm1 Pm 0.0000 0.0000 0.0000 1
Tm1 Tm 0.0000 0.0000 0.5000 1
Rh1 Rh 0.2500 0.2500 0.7500 1
```

Properties
distance to the lowest polymorph of the same formula	0.010	eV/atom
theoretical density	8.63	Mg/m³
DFT total energy	-0.44616	Ry/atom
calculated formation energy	-0.5458	eV per atom


Record 5
The following is a DFT calculation (GGA-PBE) of crystalline TcNi2P at its relaxed geometry.

```
data_TcNi2P
_chemical_formula_sum 'Tc2 Ni4 P2'
_space_group_name_H-M_alt 'I m m m'
_space_group_IT_number 71
_space_group_name_Hall '-I 2 2'
_cell_length_a 2.7639
_cell_length_b 4.0805
_cell_length_c 8.4047
_cell_angle_alpha 90.00
_cell_angle_beta 90.00
_cell_angle_gamma 90.00
loop_
_atom_site_label
_atom_site_type_symbol
_atom_site_fract_x
_atom_site_fract_y
_atom_site_fract_z
_atom_site_occupancy
Tc1 Tc 0.0000 0.0000 0.0000 1
Ni1 Ni 0.0000 0.5000 0.2176 1
P1 P 0.0000 0.0000 0.5000 1
```

Properties
theoretical density	8.63	Mg/m³
DFT total energy	-0.51831	Ry/atom
calculated formation energy	-0.2174	eV per atom


Record 6
The following is a DFT calculation (GGA-PBE) of crystalline Tb4Dy3Tm8 at its relaxed geometry.

```
data_Tb4Dy3Tm8
_chemical_formula_sum 'Tb12 Dy9 Tm24'
_space_group_name_H-M_alt 'R -3 m'
_space_group_IT_number 166
_space_group_name_Hall '-R 3 2"'
_cell_length_a 6.8488
_cell_length_b 6.8488
_cell_length_c 34.8411
_cell_angle_alpha 90.00
_cell_angle_beta 90.00
_cell_angle_gamma 120.00
loop_
_atom_site_label
_atom_site_type_symbol
_atom_site_fract_x
_atom_site_fract_y
_atom_site_fract_z
_atom_site_occupancy
Tb1 Tb 0.0000 0.0000 0.0000 1
Tb2 Tb 0.0000 0.0000 0.1635 1
Tb3 Tb 0.0000 0.0000 0.5000 1
Dy1 Dy 0.0000 0.5000 0.0000 1
Tm1 Tm 0.0000 0.0000 0.2549 1
Tm2 Tm 0.0015 0.5008 0.2504 1
```

Properties
distance to the lowest polymorph of the same formula	0.000	eV/atom
theoretical density	8.71	Mg/m³
DFT total energy	-0.32343	Ry/atom
calculated formation energy	0.1395	eV per atom


Record 7
The following is a DFT calculation (GGA-PBE) of crystalline YAl4Ni2 at its relaxed geometry.

```
data_YAl4Ni2
_chemical_formula_sum 'Y2 Al8 Ni4'
_space_group_name_H-M_alt 'I 4/m m m'
_space_group_IT_number 139
_space_group_name_Hall '-I 4 2'
_cell_length_a 5.1241
_cell_length_b 5.1241
_cell_length_c 12.6630
_cell_angle_alpha 90.00
_cell_angle_beta 90.00
_cell_angle_gamma 90.00
loop_
_atom_site_label
_atom_site_type_symbol
_atom_site_fract_x
_atom_site_fract_y
_atom_site_fract_z
_atom_site_occupancy
Y1 Y 0.0000 0.0000 0.0000 1
Al1 Al 0.0000 0.0000 0.2350 1
Al2 Al 0.0000 0.5000 0.0000 1
Ni1 Ni 0.0000 0.0000 0.4121 1
```

Properties
distance to the lowest polymorph of the same formula	1.361	eV/atom
theoretical density	3.14	Mg/m³
DFT total energy	-0.28922	Ry/atom
calculated formation energy	0.7788	eV per atom


Record 8
The following is a DFT calculation (GGA-PBE) of crystalline ScTeMo at its relaxed geometry.

```
data_ScTeMo
_chemical_formula_sum 'Sc1 Te1 Mo1'
_space_group_name_H-M_alt 'P 3 m 1'
_space_group_IT_number 156
_cell_length_a 3.4180
_cell_length_b 3.4180
_cell_length_c 6.3998
_cell_angle_alpha 90.00
_cell_angle_beta 90.00
_cell_angle_gamma 120.00
loop_
_space_group_symop_operation_xyz
'x,y,z'
'-y,x-y,z'
'-x+y,-x,z'
'-y,-x,z'
'-x+y,y,z'
'x,x-y,z'
loop_
_atom_site_label
_atom_site_type_symbol
_atom_site_fract_x
_atom_site_fract_y
_atom_site_fract_z
_atom_site_occupancy
Sc1 Sc 0.0000 0.0000 0.0000 1
Te1 Te 0.6667 0.3333 0.3826 1
Mo1 Mo 0.3333 0.6667 0.6769 1
```

Properties
distance to the lowest polymorph of the same formula	0.451	eV/atom
theoretical density	6.89	Mg/m³
DFT total energy	-0.49630	Ry/atom
energy relative to the elements, uncorrected	16	meV per atom


Record 9
The following is a DFT calculation (GGA-PBE) of crystalline PrDySc3 at its relaxed geometry.

```
data_PrDySc3
_chemical_formula_sum 'Pr2 Dy2 Sc6'
_space_group_name_H-M_alt 'C 1 m 1'
_space_group_IT_number 8
_cell_length_a 10.7141
_cell_length_b 4.8327
_cell_length_c 7.5831
_cell_angle_alpha 90.00
_cell_angle_beta 134.69
_cell_angle_gamma 90.00
loop_
_space_group_symop_operation_xyz
'x,y,z'
'x,-y,z'
'x+1/2,y+1/2,z'
'x+1/2,-y+1/2,z'
loop_
_atom_site_label
_atom_site_type_symbol
_atom_site_fract_x
_atom_site_fract_y
_atom_site_fract_z
_atom_site_occupancy
Pr1 Pr 0.0000 0.0000 0.0000 1
Dy1 Dy 0.4064 0.0000 0.5991 1
Sc1 Sc 0.0990 0.5000 0.3958 1
Sc2 Sc 0.2028 0.0000 0.7988 1
Sc3 Sc 0.3081 0.5000 0.2063 1
```

Properties
distance to the lowest polymorph of the same formula	0.017	eV/atom
theoretical density	5.21	Mg/m³
DFT total energy	-0.41232	Ry/atom
calculated formation energy	0.0654	eV per atom


Record 10
The following is a DFT calculation (GGA-PBE) of crystalline ZnPtSe2 at its relaxed geometry.

```
data_ZnPtSe2
_chemical_formula_sum 'Zn2 Pt2 Se4'
_space_group_name_H-M_alt 'I m m 2'
_space_group_IT_number 44
_cell_length_a 2.8766
_cell_length_b 4.6678
_cell_length_c 11.6510
_cell_angle_alpha 90.00
_cell_angle_beta 90.00
_cell_angle_gamma 90.00
loop_
_space_group_symop_operation_xyz
'x,y,z'
'-x,-y,z'
'-x,y,z'
'x,-y,z'
'x+1/2,y+1/2,z+1/2'
'-x+1/2,-y+1/2,z+1/2'
'-x+1/2,y+1/2,z+1/2'
'x+1/2,-y+1/2,z+1/2'
loop_
_atom_site_label
_atom_site_type_symbol
_atom_site_fract_x
_atom_site_fract_y
_atom_site_fract_z
_atom_site_occupancy
Zn1 Zn 0.0000 0.0000 0.0000 1
Pt1 Pt 0.0000 0.5000 0.6932 1
Se1 Se 0.0000 0.0000 0.3854 1
Se2 Se 0.0000 0.5000 0.1656 1
```

Properties
theoretical density	8.88	Mg/m³
DFT total energy	-0.25869	Ry/atom
energy relative to the elements, uncorrected	51	meV per atom


Record 11
The following is a DFT calculation (GGA-PBE) of crystalline La5Sm4Th at its relaxed geometry.

```
data_La5Sm4Th
_chemical_formula_sum 'La5 Sm4 Th1'
_space_group_name_H-M_alt 'P 4/m m m'
_space_group_IT_number 123
_space_group_name_Hall '-P 4 2'
_cell_length_a 4.3338
_cell_length_b 4.3338
_cell_length_c 18.7605
_cell_angle_alpha 90.00
_cell_angle_beta 90.00
_cell_angle_gamma 90.00
loop_
_atom_site_label
_atom_site_type_symbol
_atom_site_fract_x
_atom_site_fract_y
_atom_site_fract_z
_atom_site_occupancy
La1 La 0.0000 0.0000 0.0000 1
La2 La 0.0000 0.0000 0.1982 1
La3 La 0.0000 0.0000 0.4099 1
Sm1 Sm 0.5000 0.5000 0.1013 1
Sm2 Sm 0.5000 0.5000 0.3076 1
Th1 Th 0.5000 0.5000 0.5000 1
```

Properties
distance to the lowest polymorph of the same formula	0.000	eV/atom
theoretical density	7.20	Mg/m³
DFT total energy	-0.36623	Ry/atom
calculated formation energy	0.1105	eV per atom


Record 12
The following is a DFT calculation (GGA-PBE) of crystalline BiSb2TePd at its relaxed geometry.

```
data_BiSb2TePd
_chemical_formula_sum 'Bi1 Sb2 Te1 Pd1'
_space_group_name_H-M_alt 'P 4/m m m'
_space_group_IT_number 123
_space_group_name_Hall '-P 4 2'
_cell_length_a 5.7743
_cell_length_b 5.7743
_cell_length_c 5.9087
_cell_angle_alpha 90.00
_cell_angle_beta 90.00
_cell_angle_gamma 90.00
loop_
_atom_site_label
_atom_site_type_symbol
_atom_site_fract_x
_atom_site_fract_y
_atom_site_fract_z
_atom_site_occupancy
Bi1 Bi 0.0000 0.0000 0.0000 1
Sb1 Sb 0.0000 0.5000 0.0000 1
Te1 Te 0.0000 0.0000 0.5000 1
Pd1 Pd 0.5000 0.5000 0.5000 1
```

Properties
distance to the lowest polymorph of the same formula	0.886	eV/atom
theoretical density	5.79	Mg/m³
DFT total energy	-0.21611	Ry/atom
energy relative to the elements, uncorrected	1152	meV per atom


Record 13
The following is a DFT calculation (GGA-PBE) of crystalline MgScTcSe2 at its relaxed geometry.

```
data_MgScTcSe2
_chemical_formula_sum 'Mg1 Sc1 Tc1 Se2'
_space_group_name_H-M_alt 'P 4/m m m'
_space_group_IT_number 123
_space_group_name_Hall '-P 4 2'
_cell_length_a 4.8913
_cell_length_b 4.8913
_cell_length_c 4.8091
_cell_angle_alpha 90.00
_cell_angle_beta 90.00
_cell_angle_gamma 90.00
loop_
_atom_site_label
_atom_site_type_symbol
_atom_site_fract_x
_atom_site_fract_y
_atom_site_fract_z
_atom_site_occupancy
Mg1 Mg 0.0000 0.0000 0.0000 1
Sc1 Sc 0.5000 0.5000 0.0000 1
Tc1 Tc 0.0000 0.0000 0.5000 1
Se1 Se 0.0000 0.5000 0.5000 1
```

Properties
theoretical density	4.69	Mg/m³
DFT total energy	-0.35850	Ry/atom
energy relative to the elements, uncorrected	175	meV per atom